*w*
VASP calculation (PBE-GGA) on a geometry-optimized MgZnCoS3 structure.

Cell and atoms, written as POSCAR:
```
MgZnCoS3
1.0
1.758 -5.805 0.000
1.758 5.805 0.000
0.000 0.000 10.240
Mg Zn Co S
2 2 2 6
Direct
0.225 0.775 0.750 Mg
0.775 0.225 0.250 Mg
0.000 0.000 0.000 Zn
0.000 0.000 0.500 Zn
0.488 0.512 0.250 Co
0.512 0.488 0.750 Co
0.104 0.896 0.250 S
0.366 0.634 0.078 S
0.366 0.634 0.422 S
0.634 0.366 0.578 S
0.634 0.366 0.922 S
0.896 0.104 0.750 S
```

---

*x*
VASP calculation (PBE-GGA) on a geometry-optimized MgZnCoS3 structure.

Cell and atoms, written as POSCAR:
```
MgZnCoS3
1.0
1.770 -6.022 0.000
1.770 6.022 0.000
0.000 0.000 9.040
Mg Zn Co S
2 2 2 6
Direct
0.238 0.762 0.750 Mg
0.762 0.238 0.250 Mg
0.478 0.522 0.250 Zn
0.522 0.478 0.750 Zn
0.000 0.000 0.000 Co
0.000 0.000 0.500 Co
0.101 0.899 0.250 S
0.366 0.634 0.049 S
0.366 0.634 0.451 S
0.634 0.366 0.549 S
0.634 0.366 0.951 S
0.899 0.101 0.750 S
```

---

Need the numbers? Relative energies in eV/atom: *w* 0.000; *x* 0.042.